Density functional theory data (PBE) for crystalline BaMgIr at its relaxed geometry.

a b c (Å): 6.3435 6.3435 6.3435
angles (deg): 149.20 144.16 47.96
With the nearest neighbours (Å) after each atom.
Sites, in units of the cell vectors:
Ir 0.2944 0.2944 0.0000  4 Mg 2.72
Mg 0.7188 0.7188 0.0000  4 Ir 2.72
Ba 0.9868 0.9868 0.0000  1 Mg 3.11, 2 Ba 3.37, 4 Ir 3.41

Properties
ΔH_f (0 K)   22 meV/atom